Record 1
The following is a PBE calculation of an optimized crystal structure of CdCuSi, from Alexandria.

Results
Space group   F-43m
Energy relative to the lowest polymorph listed for this composition   0.085 eV per atom
Total magnetization   0.0 μB per cell
E_form (uncorrected)   0.21 eV per atom
Crystal system   cubic

POSCAR file:
```
CdCuSi
1.0
-2.967 -1.099 2.806
-2.872 -2.938 -1.001
0.137 -3.804 1.841
Cd Cu Si
1 1 1
direct
0.500 0.500 0.500
0.750 0.750 0.750
0.000 0.000 0.000
```

---

Record 2
The following is a PBE calculation of an optimized crystal structure of CdCuSi2, from Alexandria.

Results
Space group   P4/mmm
Total magnetization   0.0 μB per cell
E_form (uncorrected)   0.45 eV per atom
Crystal system   tetragonal

POSCAR file:
```
CdCuSi2
1.0
-3.979 -0.652 -0.222
0.554 -2.264 -3.285
0.406 -3.267 2.320
Cd Cu Si
1 1 2
direct
0.500 0.500 0.000
0.500 0.000 0.500
0.000 0.000 0.000
0.000 0.500 0.500
```

---

> What is the E_form (uncorrected) in the first record?

0.21 eV per atom

---

> Look up the total magnetization of the first one.

0.0 μB per cell

---

> E_form (uncorrected) of number 1 (CdCuSi)?

0.21 eV per atom

---

> Look up the E_form (uncorrected) of the first one.

0.21 eV per atom